Entry w
Crystalline Na3SrOs at its relaxed geometry, computed with GGA-PBE.

Lattice parameters (Å, degrees): 5.538 5.538 5.538 90.00 90.00 90.00
Each line ends with the local moment (μB).
Element x y z (fractional)
Na: 0.000 0.500 0.000  -0.02
Na: 0.000 0.000 0.500  -0.01
Na: 0.500 0.000 0.000  0.01
Os: 0.000 0.000 0.000  1.46
Sr: 0.500 0.500 0.500  -0.06

---

Entry x
Crystalline Na3SrOs at its relaxed geometry, computed with GGA-PBE.

Lattice parameters (Å, degrees): 6.006 6.006 6.006 90.00 90.00 90.00
Each line ends with the local moment (μB).
Element x y z (fractional)
Na: 0.500 0.000 0.000  -0.04
Na: 0.000 0.500 0.000  -0.04
Na: 0.000 0.000 0.500  -0.03
Os: 0.500 0.500 0.500  2.58
Sr: 0.000 0.000 0.000  -0.18

---

Q: Which of them is the most stable? A: entry w.

---

Entry w
Crystalline NaSr2Os at its relaxed geometry, computed with GGA-PBE.

Lattice parameters (Å, degrees): 8.810 8.810 7.134 51.87 51.87 90.00
Each line ends with the local moment (μB).
Element x y z (fractional)
Na: 0.250 0.750 0.500  0.01
Na: 0.500 0.500 0.000  0.01
Sr: 0.691 0.125 0.250  0.01
Sr: 0.875 0.941 0.750  0.01
Sr: 0.375 0.309 0.750  0.01
Sr: 0.059 0.625 0.250  0.01
Os: 0.000 0.000 0.000  0.52
Os: 0.750 0.250 0.500  0.53

---

Entry x
Crystalline NaSr2Os at its relaxed geometry, computed with GGA-PBE.

Lattice parameters (Å, degrees): 5.384 5.384 5.384 60.00 60.00 60.00
Element x y z (fractional)
Sr: 0.750 0.750 0.750
Sr: 0.250 0.250 0.250
Os: 0.500 0.500 0.500
Na: 0.000 0.000 0.000

---

Q: Which of them is the most stable? A: entry x.